# 1
Here is a geometry-optimized TaPtAu structure from Alexandria via LeMat-Bulk. Energies are from PBE.

Geometry as CIF:
```
data_TaPtAu
_chemical_formula_sum 'Ta1 Pt1 Au1'
_cell_length_a 4.5904
_cell_length_b 4.5904
_cell_length_c 2.7754
_cell_angle_alpha 90.00
_cell_angle_beta 90.00
_cell_angle_gamma 120.00
_space_group_name_H-M_alt 'P 1'
_space_group_IT_number 1
loop_
_space_group_symop_operation_xyz
'x,y,z'
loop_
_atom_site_label
_atom_site_type_symbol
_atom_site_fract_x
_atom_site_fract_y
_atom_site_fract_z
_atom_site_occupancy
Ta1 Ta 0.0000 0.0000 0.0000 1
Pt1 Pt 0.3333 0.6667 0.5000 1
Au1 Au 0.6667 0.3333 0.5000 1
```

Formation energy in meV/atom: -305

---

# 2
Here is a geometry-optimized Be2Sn2I structure from Alexandria via LeMat-Bulk. Energies are from PBE.

Geometry as CIF:
```
data_Be2Sn2I
_chemical_formula_sum 'Be4 Sn4 I2'
_cell_length_a 4.4335
_cell_length_b 4.4335
_cell_length_c 11.6420
_cell_angle_alpha 90.00
_cell_angle_beta 90.00
_cell_angle_gamma 90.00
_space_group_name_H-M_alt 'P 1'
_space_group_IT_number 1
loop_
_space_group_symop_operation_xyz
'x,y,z'
loop_
_atom_site_label
_atom_site_type_symbol
_atom_site_fract_x
_atom_site_fract_y
_atom_site_fract_z
_atom_site_occupancy
Be1 Be 0.0000 0.5000 0.2500 1
Be2 Be 0.0000 0.5000 0.7500 1
Be3 Be 0.5000 0.0000 0.2500 1
Be4 Be 0.5000 0.0000 0.7500 1
Sn1 Sn 0.0000 0.0000 0.1317 1
Sn2 Sn 0.0000 0.0000 0.8683 1
Sn3 Sn 0.5000 0.5000 0.3683 1
Sn4 Sn 0.5000 0.5000 0.6317 1
I1 I 0.0000 0.0000 0.5000 1
I2 I 0.5000 0.5000 0.0000 1
```

E in eV/cell: -28.55

---

# 3
Here is a geometry-optimized LaZrCu structure from Alexandria via LeMat-Bulk. Energies are from PBE.

Geometry as CIF:
```
data_LaZrCu
_chemical_formula_sum 'La1 Zr1 Cu1'
_cell_length_a 4.4690
_cell_length_b 4.4690
_cell_length_c 4.4361
_cell_angle_alpha 90.00
_cell_angle_beta 90.00
_cell_angle_gamma 120.00
_space_group_name_H-M_alt 'P 1'
_space_group_IT_number 1
loop_
_space_group_symop_operation_xyz
'x,y,z'
loop_
_atom_site_label
_atom_site_type_symbol
_atom_site_fract_x
_atom_site_fract_y
_atom_site_fract_z
_atom_site_occupancy
La1 La 0.0000 0.0000 0.0000 1
Zr1 Zr 0.6667 0.3333 0.5000 1
Cu1 Cu 0.3333 0.6667 0.5000 1
```

Formation energy in meV/atom: 133

---

# 4
Here is a geometry-optimized Rb2Na4Cd structure from Alexandria via LeMat-Bulk. Energies are from PBE.

Geometry as CIF:
```
data_Rb2Na4Cd
_chemical_formula_sum 'Rb4 Na8 Cd2'
_cell_length_a 6.0524
_cell_length_b 6.0524
_cell_length_c 20.2757
_cell_angle_alpha 90.00
_cell_angle_beta 90.00
_cell_angle_gamma 90.00
_space_group_name_H-M_alt 'P 1'
_space_group_IT_number 1
loop_
_space_group_symop_operation_xyz
'x,y,z'
loop_
_atom_site_label
_atom_site_type_symbol
_atom_site_fract_x
_atom_site_fract_y
_atom_site_fract_z
_atom_site_occupancy
Rb1 Rb 0.0000 0.0000 0.1447 1
Rb2 Rb 0.0000 0.0000 0.8553 1
Rb3 Rb 0.5000 0.5000 0.3553 1
Rb4 Rb 0.5000 0.5000 0.6447 1
Na1 Na 0.0000 0.0000 0.3490 1
Na2 Na 0.0000 0.0000 0.6510 1
Na3 Na 0.0000 0.5000 0.0000 1
Na4 Na 0.0000 0.5000 0.5000 1
Na5 Na 0.5000 0.0000 0.0000 1
Na6 Na 0.5000 0.0000 0.5000 1
Na7 Na 0.5000 0.5000 0.1510 1
Na8 Na 0.5000 0.5000 0.8490 1
Cd1 Cd 0.0000 0.0000 0.5000 1
Cd2 Cd 0.5000 0.5000 0.0000 1
```

Formation energy in meV/atom: 67

---

# 5
Here is a geometry-optimized La2CoSbC structure from Alexandria via LeMat-Bulk. Energies are from PBE.

Geometry as CIF:
```
data_La2CoSbC
_chemical_formula_sum 'La2 Co1 Sb1 C1'
_cell_length_a 5.4948
_cell_length_b 5.4948
_cell_length_c 3.7156
_cell_angle_alpha 90.00
_cell_angle_beta 90.00
_cell_angle_gamma 90.00
_space_group_name_H-M_alt 'P 1'
_space_group_IT_number 1
loop_
_space_group_symop_operation_xyz
'x,y,z'
loop_
_atom_site_label
_atom_site_type_symbol
_atom_site_fract_x
_atom_site_fract_y
_atom_site_fract_z
_atom_site_occupancy
La1 La 0.0000 0.5000 0.0000 1
La2 La 0.5000 0.0000 0.0000 1
Co1 Co 0.0000 0.0000 0.5000 1
Sb1 Sb 0.5000 0.5000 0.5000 1
C1 C 0.0000 0.0000 0.0000 1
```

E in eV/cell: -32.75

---

# 6
Here is a geometry-optimized Ac4MgZn5 structure from Alexandria via LeMat-Bulk. Energies are from PBE.

Geometry as CIF:
```
data_Ac4MgZn5
_chemical_formula_sum 'Ac4 Mg1 Zn5'
_cell_length_a 3.8350
_cell_length_b 3.8350
_cell_length_c 18.9040
_cell_angle_alpha 90.00
_cell_angle_beta 90.00
_cell_angle_gamma 90.00
_space_group_name_H-M_alt 'P 1'
_space_group_IT_number 1
loop_
_space_group_symop_operation_xyz
'x,y,z'
loop_
_atom_site_label
_atom_site_type_symbol
_atom_site_fract_x
_atom_site_fract_y
_atom_site_fract_z
_atom_site_occupancy
Ac1 Ac 0.0000 0.0000 0.1052 1
Ac2 Ac 0.0000 0.0000 0.3133 1
Ac3 Ac 0.0000 0.0000 0.6867 1
Ac4 Ac 0.0000 0.0000 0.8948 1
Mg1 Mg 0.0000 0.0000 0.5000 1
Zn1 Zn 0.5000 0.5000 0.0000 1
Zn2 Zn 0.5000 0.5000 0.2092 1
Zn3 Zn 0.5000 0.5000 0.4255 1
Zn4 Zn 0.5000 0.5000 0.5745 1
Zn5 Zn 0.5000 0.5000 0.7908 1
```

Formation energy in meV/atom: -189